(A)
Entry from Alexandria: a relaxed ThReSi3 crystal (GGA-PBE).

It has space group Pmn2_1 (No. 31), with a = 6.0419 Å, b = 5.6491 Å, c = 5.8065 Å, α = 90.00°, β = 90.00° and γ = 90.00°. The inequivalent atoms are Th at (0.0000, 0.1598, 0.0000), Re at (0.0000, 0.6208, 0.2826), Si at (0.0000, 0.9596, 0.5127) and Si at (0.2153, 0.3326, 0.4996).

The calculation puts the total magnetization at 0.0 μB/f.u.

---

(B)
Entry from Alexandria: a relaxed ThReSi3 crystal (GGA-PBE).

It has space group I4mm (No. 107), with a = 4.2665 Å, b = 4.2665 Å, c = 10.1575 Å, α = 90.00°, β = 90.00° and γ = 90.00°. The inequivalent atoms are Th at (0.0000, 0.0000, 0.0000), Re at (0.0000, 0.0000, 0.3391), Si at (0.0000, 0.0000, 0.5722) and Si at (0.0000, 0.5000, 0.2301).

The calculation puts the total magnetization at 0.0 μB/f.u.

---

Which one sits at the top of the stability order? (B) does.

---

(A)
Entry from Alexandria: a relaxed TiReSi3 crystal (GGA-PBE).

It has space group Pm-3m (No. 221), with a = 4.6396 Å, b = 4.6396 Å, c = 4.6396 Å, α = 90.00°, β = 90.00° and γ = 90.00°. The inequivalent atoms are Ti at (0.0000, 0.0000, 0.0000), Re at (0.5000, 0.5000, 0.5000) and Si at (0.0000, 0.5000, 0.5000).

The calculation puts the total magnetization at 0.0 μB/f.u.

---

(B)
Entry from Alexandria: a relaxed TiReSi3 crystal (GGA-PBE).

It has space group Pm-3m (No. 221), with a = 4.4925 Å, b = 4.4925 Å, c = 4.4925 Å, α = 90.00°, β = 90.00° and γ = 90.00°. The inequivalent atoms are Ti at (0.0000, 0.0000, 0.0000), Re at (0.5000, 0.5000, 0.5000) and Si at (0.0000, 0.0000, 0.5000).

The calculation puts the total magnetization at 0.0 μB/f.u.

---

Which one sits at the top of the stability order? (A) does.

---

(A)
Entry from Alexandria: a relaxed Ti3ReSi crystal (GGA-PBE).

It has space group Pm-3m (No. 221), with a = 4.4956 Å, b = 4.4956 Å, c = 4.4956 Å, α = 90.00°, β = 90.00° and γ = 90.00°. The inequivalent atoms are Ti at (0.0000, 0.0000, 0.5000), Re at (0.5000, 0.5000, 0.5000) and Si at (0.0000, 0.0000, 0.0000).

The calculation puts the total magnetization at 0.0 μB/f.u.

---

(B)
Entry from Alexandria: a relaxed Ti3ReSi crystal (GGA-PBE).

It has space group Pm-3m (No. 221), with a = 4.7074 Å, b = 4.7074 Å, c = 4.7074 Å, α = 90.00°, β = 90.00° and γ = 90.00°. The inequivalent atoms are Ti at (0.0000, 0.0000, 0.5000), Re at (0.0000, 0.0000, 0.0000) and Si at (0.5000, 0.5000, 0.5000).

The calculation puts the total magnetization at 1.6 μB/f.u.

---

Which one sits at the top of the stability order? (A) does.

---

(A)
Entry from Alexandria: a relaxed TlRe2Si crystal (GGA-PBE).

It has space group P4/mmm (No. 123), with a = 4.4518 Å, b = 4.4518 Å, c = 3.2122 Å, α = 90.00°, β = 90.00° and γ = 90.00°. The inequivalent atoms are Tl at (0.0000, 0.0000, 0.0000), Re at (0.0000, 0.5000, 0.5000) and Si at (0.5000, 0.5000, 0.0000).

The calculation puts the total magnetization at 0.0 μB/f.u.

---

(B)
Entry from Alexandria: a relaxed TlRe2Si crystal (GGA-PBE).

It has space group R-3m (No. 166, hexagonal axes), with a = 2.9023 Å, b = 2.9023 Å, c = 27.0255 Å, α = 90.00°, β = 90.00° and γ = 120.00°. The inequivalent atoms are Tl at (0.0000, 0.0000, 0.0000), Re at (0.0000, 0.0000, 0.2374) and Si at (0.0000, 0.0000, 0.5000).

The calculation puts the total magnetization at 0.0 μB/f.u.

---

(C)
Entry from Alexandria: a relaxed TlRe2Si crystal (GGA-PBE).

It has space group C2/m (No. 12), with a = 8.3422 Å, b = 2.9667 Å, c = 5.6524 Å, α = 90.00°, β = 102.26° and γ = 90.00°. The inequivalent atoms are Tl at (0.0000, 0.0000, 0.0000), Re at (0.2346, 0.0000, 0.6876) and Si at (0.0000, 0.5000, 0.5000).

The calculation puts the total magnetization at 0.0 μB/f.u.

---

Which one sits at the top of the stability order? (B) does.

---

(A)
Entry from Alexandria: a relaxed TlRe2Si crystal (GGA-PBE).

It has space group P4mm (No. 99), with a = 2.9790 Å, b = 2.9790 Å, c = 8.1182 Å, α = 90.00°, β = 90.00° and γ = 90.00°. The inequivalent atoms are Tl at (0.0000, 0.0000, 0.0000), Re at (0.0000, 0.0000, 0.4736), Re at (0.5000, 0.5000, 0.2838) and Si at (0.5000, 0.5000, 0.6708).

The calculation puts the total magnetization at 0.0 μB/f.u.

---

(B)
Entry from Alexandria: a relaxed TlRe2Si crystal (GGA-PBE).

It has space group Pm (No. 6), with a = 3.0039 Å, b = 4.3977 Å, c = 5.3792 Å, α = 90.00°, β = 106.03° and γ = 90.00°. The inequivalent atoms are Tl at (0.0000, 0.0000, 0.0000), Re at (0.2670, 0.0000, 0.5228), Re at (0.6766, 0.5000, 0.3423) and Si at (0.3694, 0.5000, 0.7323).

The calculation puts the total magnetization at 0.0 μB/f.u.

---

Which one sits at the top of the stability order? (A) does.

---

(A)
Entry from Alexandria: a relaxed TlRe2Si crystal (GGA-PBE).

It has space group P4/mmm (No. 123), with a = 3.0662 Å, b = 3.0662 Å, c = 7.0330 Å, α = 90.00°, β = 90.00° and γ = 90.00°. The inequivalent atoms are Tl at (0.0000, 0.0000, 0.0000), Re at (0.5000, 0.5000, 0.3148) and Si at (0.0000, 0.0000, 0.5000).

The calculation puts the total magnetization at 0.0 μB/f.u.

---

(B)
Entry from Alexandria: a relaxed TlRe2Si crystal (GGA-PBE).

It has space group F-43m (No. 216), with a = 6.4484 Å, b = 6.4484 Å, c = 6.4484 Å, α = 90.00°, β = 90.00° and γ = 90.00°. The inequivalent atoms are Tl at (0.0000, 0.0000, 0.0000), Re at (0.0000, 0.0000, 0.5000), Re at (0.2500, 0.2500, 0.2500) and Si at (0.2500, 0.2500, 0.7500).

The calculation puts the total magnetization at 0.0 μB/f.u.

---

Which one sits at the top of the stability order? (A) does.

---

(A)
Entry from Alexandria: a relaxed TlRe2Si crystal (GGA-PBE).

It has space group Cm (No. 8), with a = 8.2504 Å, b = 2.9745 Å, c = 6.1845 Å, α = 90.00°, β = 99.63° and γ = 90.00°. The inequivalent atoms are Tl at (0.0000, 0.0000, 0.0000), Re at (0.0043, 0.5000, 0.4807), Re at (0.2463, 0.0000, 0.6784) and Si at (0.2683, 0.5000, 0.3447).

The calculation puts the total magnetization at 0.0 μB/f.u.

---

(B)
Entry from Alexandria: a relaxed TlRe2Si crystal (GGA-PBE).

It has space group Pmmm (No. 47), with a = 3.0463 Å, b = 4.4075 Å, c = 4.9732 Å, α = 90.00°, β = 90.00° and γ = 90.00°. The inequivalent atoms are Tl at (0.0000, 0.0000, 0.0000), Re at (0.0000, 0.5000, 0.5000), Re at (0.5000, 0.5000, 0.0000) and Si at (0.5000, 0.0000, 0.5000).

The calculation puts the total magnetization at 0.0 μB/f.u.

---

(C)
Entry from Alexandria: a relaxed TlRe2Si crystal (GGA-PBE).

It has space group I-4m2 (No. 119), with a = 3.9886 Å, b = 3.9886 Å, c = 8.1463 Å, α = 90.00°, β = 90.00° and γ = 90.00°. The inequivalent atoms are Tl at (0.0000, 0.0000, 0.0000), Re at (0.0000, 0.0000, 0.5000), Re at (0.0000, 0.5000, 0.7500) and Si at (0.0000, 0.5000, 0.2500).

The calculation puts the total magnetization at 0.0 μB/f.u.

---

Which one sits at the top of the stability order? (A) does.

---

(A)
Entry from Alexandria: a relaxed Tm2Re3Si4 crystal (GGA-PBE).

It has space group Fmmm (No. 69), with a = 5.3512 Å, b = 9.3165 Å, c = 12.4443 Å, α = 90.00°, β = 90.00° and γ = 90.00°. The inequivalent atoms are Tm at (0.0000, 0.0000, 0.1381), Re at (0.0000, 0.0000, 0.5000), Re at (0.2500, 0.2500, 0.0000) and Si at (0.0000, 0.1717, 0.3367).

The calculation puts the total magnetization at 0.0 μB/f.u.

---

(B)
Entry from Alexandria: a relaxed Tm2Re3Si4 crystal (GGA-PBE).

It has space group P2_1/c (No. 14), with a = 6.7377 Å, b = 6.7504 Å, c = 6.7504 Å, α = 90.00°, β = 110.18° and γ = 90.00°. The inequivalent atoms are Tm at (0.1915, 0.1692, 0.0574), Re at (0.2366, 0.6473, 0.2581), Re at (0.5000, 0.0000, 0.5000), Si at (0.1004, 0.5509, 0.8745) and Si at (0.4877, 0.6404, 0.6322).

The calculation puts the total magnetization at 0.0 μB/f.u.

---

Which one sits at the top of the stability order? (B) does.

---

(A)
Entry from Alexandria: a relaxed V3ReSi crystal (GGA-PBE).

It has space group Pm-3m (No. 221), with a = 4.2872 Å, b = 4.2872 Å, c = 4.2872 Å, α = 90.00°, β = 90.00° and γ = 90.00°. The inequivalent atoms are V at (0.0000, 0.0000, 0.5000), Re at (0.5000, 0.5000, 0.5000) and Si at (0.0000, 0.0000, 0.0000).

The calculation puts the total magnetization at 0.0 μB/f.u.

---

(B)
Entry from Alexandria: a relaxed V3ReSi crystal (GGA-PBE).

It has space group Pm-3m (No. 221), with a = 4.5596 Å, b = 4.5596 Å, c = 4.5596 Å, α = 90.00°, β = 90.00° and γ = 90.00°. The inequivalent atoms are V at (0.0000, 0.0000, 0.5000), Re at (0.0000, 0.0000, 0.0000) and Si at (0.5000, 0.5000, 0.5000).

The calculation puts the total magnetization at 0.5 μB/f.u.

---

Which one sits at the top of the stability order? (A) does.

---

(A)
Entry from Alexandria: a relaxed ReSiW crystal (GGA-PBE).

It has space group P-6m2 (No. 187), with a = 4.2258 Å, b = 4.2258 Å, c = 2.8682 Å, α = 90.00°, β = 90.00° and γ = 120.00°. The inequivalent atoms are Re at (0.0000, 0.0000, 0.0000), Si at (0.6667, 0.3333, 0.0000) and W at (0.3333, 0.6667, 0.5000).

The calculation puts the total magnetization at 0.0 μB/f.u.

---

(B)
Entry from Alexandria: a relaxed ReSiW crystal (GGA-PBE).

It has space group I4mm (No. 107), with a = 2.9923 Å, b = 2.9923 Å, c = 9.5491 Å, α = 90.00°, β = 90.00° and γ = 90.00°. The inequivalent atoms are Re at (0.0000, 0.0000, 0.0000), Si at (0.0000, 0.0000, 0.6487) and W at (0.0000, 0.0000, 0.3183).

The calculation puts the total magnetization at 0.0 μB/f.u.

---

Which one sits at the top of the stability order? (B) does.

---

(A)
Entry from Alexandria: a relaxed ReSiW crystal (GGA-PBE).

It has space group Fmm2 (No. 42), with a = 3.1549 Å, b = 4.6346 Å, c = 12.1172 Å, α = 90.00°, β = 90.00° and γ = 90.00°. The inequivalent atoms are Re at (0.0000, 0.0000, 0.0000), Si at (0.0000, 0.0000, 0.3436) and W at (0.0000, 0.0000, 0.6791).

The calculation puts the total magnetization at 0.0 μB/f.u.

---

(B)
Entry from Alexandria: a relaxed ReSiW crystal (GGA-PBE).

It has space group P3m1 (No. 156), with a = 2.8606 Å, b = 2.8606 Å, c = 6.2641 Å, α = 90.00°, β = 90.00° and γ = 120.00°. The inequivalent atoms are Re at (0.0000, 0.0000, 0.0000), Si at (0.6667, 0.3333, 0.3178) and W at (0.3333, 0.6667, 0.6560).

The calculation puts the total magnetization at 0.0 μB/f.u.

---

(C)
Entry from Alexandria: a relaxed ReSiW crystal (GGA-PBE).

It has space group Pmmn (No. 59, origin choice 2), with a = 3.0334 Å, b = 4.3510 Å, c = 6.7407 Å, α = 90.00°, β = 90.00° and γ = 90.00°. The inequivalent atoms are Re at (0.2500, 0.2500, 0.0238), Si at (0.2500, 0.7500, 0.6967) and W at (0.2500, 0.7500, 0.3289).

The calculation puts the total magnetization at 0.0 μB/f.u.

---

Which one sits at the top of the stability order? (C) does.

---

(A)
Entry from Alexandria: a relaxed ReSi2W2 crystal (GGA-PBE).

It has space group P4/mbm (No. 127), with a = 6.4830 Å, b = 6.4830 Å, c = 3.4085 Å, α = 90.00°, β = 90.00° and γ = 90.00°. The inequivalent atoms are Re at (0.0000, 0.0000, 0.0000), Si at (0.1340, 0.3660, 0.0000) and W at (0.1614, 0.6614, 0.5000).

The calculation puts the total magnetization at 0.0 μB/f.u.

---

(B)
Entry from Alexandria: a relaxed ReSi2W2 crystal (GGA-PBE).

It has space group I4/mmm (No. 139), with a = 3.8310 Å, b = 3.8310 Å, c = 10.8124 Å, α = 90.00°, β = 90.00° and γ = 90.00°. The inequivalent atoms are Re at (0.0000, 0.0000, 0.0000), Si at (0.0000, 0.0000, 0.3992) and W at (0.0000, 0.5000, 0.2500).

The calculation puts the total magnetization at 1.7 μB/f.u.

---

Which one sits at the top of the stability order? (A) does.